Model i:
The following is a DFT calculation (GGA-PBE) of a relaxed structure of GaO.

Cell and atoms, written as POSCAR:
```
GaO
1.0
-0.641 0.252 -3.057
-1.704 -4.086 0.021
-9.825 4.109 2.398
O Ga
6 6
direct
0.000 0.031 0.359
0.500 0.969 0.859
0.000 0.463 0.000
0.500 0.969 0.141
0.000 0.031 0.641
0.500 0.537 0.500
0.500 0.300 0.691
0.000 0.783 0.500
0.500 0.217 0.000
0.000 0.700 0.809
0.500 0.300 0.309
0.000 0.700 0.191
```

Values from the calculation:
- size of the total moment (μB/cell) = 0.0
- D(E_F) (states/eV per cell) = 1.62



Model ii:
The following is a DFT calculation (GGA-PBE) of a relaxed structure of GaO.

Cell and atoms, written as POSCAR:
```
GaO
1.0
10.046 0.000 0.000
0.000 3.168 0.000
0.000 0.000 5.447
O Ga
6 6
direct
0.242 0.000 0.125
0.742 0.500 0.625
0.758 0.000 0.125
0.258 0.500 0.625
0.500 0.000 0.899
0.000 0.500 0.399
0.677 0.000 0.787
0.177 0.500 0.287
0.000 0.500 0.778
0.323 0.000 0.787
0.823 0.500 0.287
0.500 0.000 0.278
```

Values from the calculation:
- size of the total moment (μB/cell) = 0.0
- D(E_F) (states/eV per cell) = 0.84



Model iii:
The following is a DFT calculation (GGA-PBE) of a relaxed structure of GaO.

Cell and atoms, written as POSCAR:
```
GaO
1.0
-2.221 -6.184 0.611
1.211 -1.067 -6.398
6.095 -2.042 1.494
O Ga
8 8
direct
0.340 0.660 0.340
0.840 0.840 0.160
0.840 0.160 0.840
0.160 0.160 0.160
0.660 0.660 0.660
0.660 0.340 0.340
0.160 0.840 0.840
0.340 0.340 0.660
0.335 0.335 0.335
0.165 0.835 0.165
0.835 0.835 0.835
0.665 0.335 0.665
0.665 0.665 0.335
0.335 0.665 0.665
0.835 0.165 0.165
0.165 0.165 0.835
```

Values from the calculation:
- size of the total moment (μB/cell) = 0.0
- D(E_F) (states/eV per cell) = 5.72



Model iv:
The following is a DFT calculation (GGA-PBE) of a relaxed structure of GaO.

Cell and atoms, written as POSCAR:
```
GaO
1.0
-4.260 -6.615 2.758
2.064 -0.239 2.615
-2.402 2.430 2.118
Ga O
4 4
direct
0.147 0.000 0.000
0.647 0.500 0.500
0.353 0.500 0.500
0.853 0.000 0.000
0.773 0.000 0.500
0.727 0.500 0.000
0.273 0.500 0.000
0.227 0.000 0.500
```

Values from the calculation:
- size of the total moment (μB/cell) = 0.0
- D(E_F) (states/eV per cell) = 0.00



Ordering by calculated energy gives the sequence model iv, model i, model ii, model iii, with the first entry being the most stable.